Record 1
Compound: MnBi2PtN
Source: the Alexandria database
Functional: PBE-GGA
Structure: optimized geometry

abc: 5.0276 4.4923 5.0276
angles: 90.00 90.00 90.00
Positions (direct):
1 Mn 0.0000 0.0000 0.0000
2 Bi 0.0000 0.0000 0.5000
3 Bi 0.5000 0.0000 0.0000
4 Pt 0.0000 0.5000 0.0000
5 N 0.5000 0.5000 0.5000

Results
Space-group type: P4/mmm, No. 123
ρ: 9.97 Mg/m³
Energy relative to the elements, uncorrected: 7.81 eV/f.u.

Record 2
Compound: RbMn2BiN
Source: the Alexandria database
Functional: PBE-GGA
Structure: optimized geometry

abc: 4.0865 5.3487 4.0865
angles: 90.00 90.00 90.00
Positions (direct):
1 Mn 0.0000 0.0000 0.5000
2 Mn 0.5000 0.0000 0.0000
3 Bi 0.5000 0.5000 0.5000
4 Rb 0.0000 0.5000 0.0000
5 N 0.0000 0.0000 0.0000

Results
Space-group type: P4/mmm, No. 123
ρ: 7.78 Mg/m³
Energy relative to the elements, uncorrected: 5.48 eV/f.u.

Number 1: calculated total energy -4.697 eV per atom. Number 2: calculated total energy -5.207 eV per atom.